## KAlMo2 (SCAN)

Data for a PBEsol-optimized structure of KAlMo2.

## Properties
Energy of formation from the pure elements   1.263 eV/atom

a = 5.5469 Å, b = 9.8334 Å, c = 2.6232 Å
α = 90.00°, β = 90.00°, γ = 90.00°
Space group Cmmm (No. 65)
One atom of each set of equivalent atoms:
K 0.0000 0.0000 0.0000 (multiplicity 2)
Al 0.0000 0.5000 0.0000 (multiplicity 2)
Mo 0.2500 0.2500 0.5000 (multiplicity 4)

***

## MgSeIBr2 (SCAN)

Data for a PBEsol-optimized structure of MgSeIBr2.

## Properties
Uncorrected formation energy   263.9 meV per atom

a = 5.6882 Å, b = 5.6882 Å, c = 5.3386 Å
α = 90.00°, β = 90.00°, γ = 90.00°
Space group P4/mmm (No. 123)
One atom of each set of equivalent atoms:
Mg 0.0000 0.0000 0.0000 (multiplicity 1)
Se 0.5000 0.5000 0.0000 (multiplicity 1)
I 0.5000 0.5000 0.5000 (multiplicity 1)
Br 0.0000 0.5000 0.5000 (multiplicity 2)

***

## CrMoH2 (SCAN)

Data for a PBEsol-optimized structure of CrMoH2.

a = 5.0508 Å, b = 5.0508 Å, c = 5.0508 Å
α = 90.00°, β = 90.00°, γ = 90.00°
Space group Fm-3m (No. 225)
One atom of each set of equivalent atoms:
Cr 0.0000 0.0000 0.0000 (multiplicity 4)
Mo 0.0000 0.0000 0.5000 (multiplicity 4)
H 0.2500 0.2500 0.2500 (multiplicity 8)

***

## MgTcSb2 (SCAN)

Data for a PBEsol-optimized structure of MgTcSb2.

## Properties
Polymorph energy (0 for the lowest one)   258 meV/atom
Uncorrected formation energy   263.1 meV per atom

a = 4.7002 Å, b = 4.7002 Å, c = 3.4774 Å
α = 90.00°, β = 90.00°, γ = 90.00°
Space group P4/mmm (No. 123)
One atom of each set of equivalent atoms:
Mg 0.0000 0.0000 0.0000 (multiplicity 1)
Tc 0.5000 0.5000 0.0000 (multiplicity 1)
Sb 0.0000 0.5000 0.5000 (multiplicity 2)

***

| no. | VASP energy (eV for the cell shown) |
| --- | --- |
| 1 | -161.60 |
| 2 | -99.39 |
| 3 | -230.02 |
| 4 | -113.50 |